Compound: Hf2Fe2Co5Si
Source: Alexandria
Functional: GGA-PBE
Structure: relaxed

Cell lengths 8.6534, 8.6534, 3.4852 Å; angles 90.00, 90.00, 90.00 degrees
Last column: nearest neighbours and their distance in Å.
Fractional positions:
Hf: 0.1759 0.3241 0.0000  3 Fe 2.44-2.64
Hf: 0.3241 0.8241 0.0000  3 Fe 2.44-2.64
Hf: 0.6759 0.1759 0.0000  3 Fe 2.44-2.64
Hf: 0.8241 0.6759 0.0000  3 Fe 2.44-2.64
Fe: 0.1248 0.6248 0.0000  6 Co 2.32-2.37, 1 Hf 2.44
Fe: 0.3752 0.1248 0.0000  6 Co 2.32-2.37, 1 Hf 2.44
Fe: 0.6248 0.8752 0.0000  6 Co 2.32-2.37, 1 Hf 2.44
Fe: 0.8752 0.3752 0.0000  6 Co 2.32-2.37, 1 Hf 2.44
Co: 0.0000 0.5000 0.5000  4 Fe 2.32
Co: 0.0599 0.7988 0.5000  2 Fe 2.37, 2 Si 2.52, 3 Co 2.57-2.64
Co: 0.2012 0.0599 0.5000  2 Fe 2.37, 2 Si 2.52, 3 Co 2.57-2.64
Co: 0.2988 0.5599 0.5000  2 Fe 2.37, 2 Si 2.52, 3 Co 2.57-2.64
Co: 0.4401 0.2988 0.5000  2 Fe 2.37, 2 Si 2.52, 3 Co 2.57-2.64
Co: 0.5000 0.0000 0.5000  4 Fe 2.32
Co: 0.5599 0.7012 0.5000  2 Fe 2.37, 2 Si 2.52, 3 Co 2.57-2.64
Co: 0.7012 0.4401 0.5000  2 Fe 2.37, 2 Si 2.52, 3 Co 2.57-2.64
Co: 0.7988 0.9401 0.5000  2 Fe 2.37, 2 Si 2.52, 3 Co 2.57-2.64
Co: 0.9401 0.2012 0.5000  2 Fe 2.37, 2 Si 2.52, 3 Co 2.57-2.64
Si: 0.0000 0.0000 0.0000  8 Co 2.52
Si: 0.5000 0.5000 0.0000  8 Co 2.52

- magnetization (μB per formula unit) = 7.68
- volume (Å³ per cell) = 261
- electronic total energy (eV/atom) = -7.974
- E_form (uncorrected) (eV per formula unit) = -2.0
- space-group type = P4/mbm, No. 127